[1]
## CoP3H (PBE)

Data for a geometry-optimized CoP3H structure.

Calculated values
- symmetry = No. 1
- crystal system = triclinic
- energy above the lowest structure with this stoichiometry (meV per atom) = 87

abc: 3.6008 4.1089 4.3644
angles: 101.13 92.19 91.46
Sites, in units of the cell vectors:
Co (0.5235, 0.4949, 0.8511)
P (0.0053, 0.7215, 0.6562)
P (0.0094, 0.2148, 0.9737)
P (0.7040, 0.8885, 0.2540)
H (0.5283, 0.1680, 0.4981)

[2]
## Co2P2H (PBE)

Data for a geometry-optimized Co2P2H structure.

Calculated values
- symmetry = No. 1
- crystal system = triclinic
- energy above the lowest structure with this stoichiometry (meV per atom) = 102

abc: 3.7828 3.8195 4.3402
angles: 74.21 68.00 66.39
Sites, in units of the cell vectors:
Co (0.7237, 0.7021, 0.7596)
Co (0.8542, 0.2575, 0.3127)
P (0.2295, 0.6089, 0.2456)
P (0.0597, 0.0627, 0.7991)
H (0.5280, 0.5840, 0.5474)

[3]
## Co3PH (PBE)

Data for a geometry-optimized Co3PH structure.

Calculated values
- symmetry = No. 221
- crystal system = cubic
- energy above the lowest structure with this stoichiometry (meV per atom) = 0

abc: 3.5113 3.5113 3.5113
angles: 90.00 90.00 90.00
Each line ends with the local moment (μB).
Sites, in units of the cell vectors:
P (0.5000, 0.5000, 0.5000)  -0.02
Co (0.0000, 0.5000, 0.0000)  0.29
Co (0.0000, 0.0000, 0.5000)  0.29
Co (0.5000, 0.0000, 0.0000)  0.20
H (0.0000, 0.0000, 0.0000)  0.00

[4]
## Co2P2H (PBE)

Data for a geometry-optimized Co2P2H structure.

Calculated values
- symmetry = No. 12
- crystal system = monoclinic
- energy above the lowest structure with this stoichiometry (meV per atom) = 142

abc: 4.3126 4.5076 5.5876
angles: 90.00 112.64 90.00
Sites, in units of the cell vectors:
Co (0.3123, 0.0000, 0.1767)
Co (0.6877, 0.0000, 0.8233)
Co (0.3123, 0.5000, 0.6767)
Co (0.6877, 0.5000, 0.3233)
P (0.1459, 0.0000, 0.7133)
P (0.8541, 0.0000, 0.2867)
P (0.1459, 0.5000, 0.2133)
P (0.8541, 0.5000, 0.7867)
H (0.5000, 0.0000, 0.5000)
H (0.5000, 0.5000, 0.0000)

[5]
## Co2PH (PBE)

Data for a geometry-optimized Co2PH structure.

Calculated values
- symmetry = No. 122
- crystal system = tetragonal
- energy above the lowest structure with this stoichiometry (meV per atom) = 20

abc: 4.5224 4.5224 5.0183
angles: 63.22 63.22 90.00
Sites, in units of the cell vectors:
P (0.0000, 0.0000, 0.0000)
P (0.7500, 0.2500, 0.5000)
Co (0.5325, 0.1250, 0.2500)
Co (0.2175, 0.6250, 0.2500)
Co (0.3750, 0.4675, 0.7500)
Co (0.8750, 0.7825, 0.7500)
H (0.5000, 0.5000, 0.0000)
H (0.2500, 0.7500, 0.5000)

[6]
## CoP3H (PBE)

Data for a geometry-optimized CoP3H structure.

Calculated values
- symmetry = No. 8
- crystal system = monoclinic
- energy above the lowest structure with this stoichiometry (meV per atom) = 67

abc: 5.1025 5.5075 6.3845
angles: 90.00 118.34 90.00
Sites, in units of the cell vectors:
Co (0.9584, 0.0000, 0.3963)
Co (0.9584, 0.5000, 0.8963)
P (0.0690, 0.8036, 0.1386)
P (0.0690, 0.1964, 0.1386)
P (0.0690, 0.3036, 0.6386)
P (0.0690, 0.6964, 0.6386)
P (0.5063, 0.0000, 0.3400)
P (0.5063, 0.5000, 0.8400)
H (0.5221, 0.0000, 0.5700)
H (0.5221, 0.5000, 0.0700)

no.,E_tot (eV/atom),N(E_F) (states/eV/atom)
1,-5.36,0.388
2,-5.82,0.414
3,-6.17,0.562
4,-5.78,0.374
5,-5.79,0.070
6,-5.38,0.310